#i
Density functional theory data (PBE) for an optimized crystal structure of Ga2CuW.

Cell: 6.1957 6.1957 6.1957 Å, 90.00 90.00 90.00°
With the nearest neighbours (Å) after each atom.
Space group Fm-3m (No. 225)
Unique sites:
1 Ga 0.2500 0.2500 0.2500  4 W 2.68, 4 Cu 2.68
2 Cu 0.0000 0.0000 0.0000  8 Ga 2.68
3 W 0.0000 0.0000 0.5000  8 Ga 2.68

Summary:
The volume comes out at 59.5 Å³/f.u. The density of states at the Fermi level is 3.31 states/eV/f.u.

---

#ii
Density functional theory data (PBE) for an optimized crystal structure of Ga2CuW.

Cell: 2.8430 2.8430 25.8190 Å, 90.00 90.00 120.00°
With the nearest neighbours (Å) after each atom.
Space group R-3m (No. 166, hexagonal axes)
Unique sites:
1 Ga 0.0000 0.0000 0.2461  3 Cu 2.63, 3 W 2.79, 6 Ga 2.84
2 Cu 0.0000 0.0000 0.5000  6 Ga 2.63, 6 Cu 2.84
3 W 0.0000 0.0000 0.0000  6 Ga 2.79, 6 W 2.84

Summary:
The volume comes out at 60.2 Å³/f.u. The density of states at the Fermi level is 2.11 states/eV/f.u.

---

Going by the energies, #ii is most stable and the next is 27.3 kJ/mol of atoms up.

---

#i
Density functional theory data (PBE) for an optimized crystal structure of GaCu3W.

Cell: 4.2889 4.2889 4.2889 Å, 90.00 90.00 90.00°
With the nearest neighbours (Å) after each atom.
Space group Pm-3m (No. 221)
Unique sites:
1 Ga 0.0000 0.0000 0.0000  6 Cu 2.14
2 Cu 0.0000 0.0000 0.5000  2 Ga 2.14
3 W 0.5000 0.5000 0.5000  12 Cu 3.03

Summary:
The volume comes out at 78.9 Å³/f.u. The density of states at the Fermi level is 3.01 states/eV/f.u.

---

#ii
Density functional theory data (PBE) for an optimized crystal structure of GaCu3W.

Cell: 4.7698 4.7698 4.7698 Å, 90.00 90.00 90.00°
With the nearest neighbours (Å) after each atom.
Space group Pm-3m (No. 221)
Unique sites:
1 Ga 0.0000 0.0000 0.0000  12 Cu 3.37
2 Cu 0.0000 0.5000 0.5000  2 W 2.38
3 W 0.5000 0.5000 0.5000  6 Cu 2.38

Summary:
The volume comes out at 108.5 Å³/f.u. The density of states at the Fermi level is 4.80 states/eV/f.u.

---

Going by the energies, #i is most stable and the next is 29.6 kJ/mol of atoms up.

---

#i
Density functional theory data (PBE) for an optimized crystal structure of Y3Ga8Cu3.

Cell: 4.2588 9.4111 12.4485 Å, 90.00 90.00 90.00°
With the nearest neighbours (Å) after each atom.
Space group Immm (No. 71)
Unique sites:
1 Y 0.0000 0.0000 0.0000  12 Ga 3.14-3.17
2 Y 0.0000 0.0000 0.3024  4 Cu 3.02-3.25, 8 Ga 3.03-3.09
3 Ga 0.0000 0.2893 0.1307  3 Cu 2.56-2.69, 3 Ga 2.59-2.76
4 Ga 0.0000 0.3639 0.3453  1 Cu 2.55, 4 Ga 2.56-2.76
5 Cu 0.0000 0.1862 0.5000  6 Ga 2.55-2.69, 2 Cu 2.76
6 Cu 0.0000 0.5000 0.0000  4 Ga 2.56, 4 Cu 2.76

Summary:
The volume comes out at 249.5 Å³/f.u. The density of states at the Fermi level is 3.49 states/eV/f.u.

---

#ii
Density functional theory data (PBE) for an optimized crystal structure of Y3Ga8Cu3.

Cell: 15.6178 4.2407 9.5741 Å, 90.00 127.25 90.00°
With the nearest neighbours (Å) after each atom.
Space group C2/m (No. 12)
Unique sites:
1 Y 0.0000 0.0000 0.0000  8 Ga 3.05-3.23, 4 Cu 3.18
2 Y 0.1952 0.5000 0.6863  9 Ga 3.02-3.20, 4 Cu 3.09-3.22
3 Ga 0.0007 0.5000 0.6931  1 Cu 2.49, 3 Ga 2.68-2.79
4 Ga 0.1446 0.0000 0.8626  5 Ga 2.67-2.79, 1 Cu 2.77
5 Ga 0.1471 0.0000 0.4223  3 Cu 2.48-2.59
6 Ga 0.1545 0.5000 0.0416  1 Cu 2.44, 4 Ga 2.67-2.68
7 Cu 0.0000 0.0000 0.5000  8 Ga 2.77-2.81
8 Cu 0.1550 0.5000 0.2966  5 Ga 2.44-2.59

Summary:
The volume comes out at 252.4 Å³/f.u. The density of states at the Fermi level is 6.55 states/eV/f.u.

---

Going by the energies, #i is most stable and the next is 1.5 kJ/mol of atoms up.

---

#i
Density functional theory data (PBE) for an optimized crystal structure of Y2GaCu3.

Cell: 7.1846 8.5986 14.9024 Å, 90.00 90.00 90.00°
With the nearest neighbours (Å) after each atom.
Space group Fmmm (No. 69)
Unique sites:
1 Y 0.2419 0.0000 0.0000  10 Cu 3.03-3.09, 2 Ga 3.09
2 Y 0.2500 0.2500 0.2500  8 Cu 3.06-3.07, 4 Ga 3.07
3 Ga 0.0000 0.0000 0.3342  3 Cu 2.47-2.50
4 Cu 0.0000 0.0000 0.1666  2 Cu 2.49, 1 Ga 2.50
5 Cu 0.0000 0.2488 0.4169  1 Ga 2.47, 2 Cu 2.48-2.49

Summary:
The volume comes out at 115.1 Å³/f.u. The density of states at the Fermi level is 4.38 states/eV/f.u.

---

#ii
Density functional theory data (PBE) for an optimized crystal structure of Y2GaCu3.

Cell: 3.8399 4.0617 15.0880 Å, 90.00 90.00 90.00°
With the nearest neighbours (Å) after each atom.
Space group Imm2 (No. 44)
Unique sites:
1 Y 0.0000 0.0000 0.0000  8 Cu 3.00-3.25, 4 Ga 3.11
2 Y 0.0000 0.5000 0.2589  10 Cu 3.02-3.25, 2 Ga 3.18
3 Ga 0.0000 0.0000 0.5907  3 Cu 2.39-2.47
4 Cu 0.0000 0.0000 0.4273  2 Cu 2.38, 1 Ga 2.47
5 Cu 0.0000 0.5000 0.6739  2 Ga 2.39, 1 Cu 2.42
6 Cu 0.0000 0.5000 0.8345  3 Cu 2.38-2.42

Summary:
The volume comes out at 117.7 Å³/f.u. The density of states at the Fermi level is 4.20 states/eV/f.u.

---

Going by the energies, #i is most stable and the next is 2.9 kJ/mol of atoms up.

---

#i
Density functional theory data (PBE) for an optimized crystal structure of Y2Ga2Cu.

Cell: 10.5204 4.3438 10.5210 Å, 90.00 118.24 90.00°
With the nearest neighbours (Å) after each atom.
Space group C2/m (No. 12)
Unique sites:
1 Y 0.0176 0.0000 0.3333  7 Ga 3.04-3.25, 4 Cu 3.05-3.17
2 Y 0.1878 0.0000 0.1077  6 Ga 3.04-3.11, 2 Cu 3.19
3 Ga 0.0196 0.5000 0.8842  1 Cu 2.58, 1 Ga 2.66
4 Ga 0.1442 0.5000 0.5632  2 Cu 2.50, 1 Ga 2.67
5 Cu 0.2267 0.5000 0.3460  3 Ga 2.50-2.58

Summary:
The volume comes out at 105.9 Å³/f.u. The density of states at the Fermi level is 2.89 states/eV/f.u.

---

#ii
Density functional theory data (PBE) for an optimized crystal structure of Y2Ga2Cu.

Cell: 6.8626 6.8626 4.5123 Å, 90.00 90.00 90.00°
With the nearest neighbours (Å) after each atom.
Space group P4/mbm (No. 127)
Unique sites:
1 Y 0.1707 0.3293 0.0000  6 Ga 2.93-3.09
2 Ga 0.1360 0.6360 0.5000  1 Ga 2.64, 2 Cu 2.67, 2 Y 2.93
3 Cu 0.0000 0.0000 0.5000  4 Ga 2.67

Summary:
The volume comes out at 106.3 Å³/f.u. The density of states at the Fermi level is 5.82 states/eV/f.u.

---

Going by the energies, #i is most stable and the next is 8.4 kJ/mol of atoms up.

---

#i
Density functional theory data (PBE) for an optimized crystal structure of YGa2Cu4.

Cell: 7.3358 7.3358 4.0333 Å, 90.00 90.00 90.00°
With the nearest neighbours (Å) after each atom.
Space group P4_2/mnm (No. 136)
Unique sites:
1 Y 0.0000 0.0000 0.0000  6 Ga 2.99, 4 Cu 3.16
2 Ga 0.2122 0.2122 0.5000  6 Cu 2.48-2.51
3 Cu 0.0953 0.6461 0.5000  3 Ga 2.48-2.51, 6 Cu 2.56-2.71

Summary:
The volume comes out at 108.5 Å³/f.u. The density of states at the Fermi level is 3.51 states/eV/f.u.

---

#ii
Density functional theory data (PBE) for an optimized crystal structure of YGa2Cu4.

Cell: 7.1839 7.1839 5.3750 Å, 90.00 90.00 90.00°
With the nearest neighbours (Å) after each atom.
Space group I4/mmm (No. 139)
Unique sites:
1 Y 0.0000 0.0000 0.0000  8 Cu 3.14
2 Ga 0.0000 0.5000 0.2500  4 Cu 2.38
3 Cu 0.0000 0.2271 0.5000  2 Cu 2.31, 2 Ga 2.38

Summary:
The volume comes out at 138.7 Å³/f.u. The density of states at the Fermi level is 3.53 states/eV/f.u.

---

Going by the energies, #i is most stable and the next is 44.5 kJ/mol of atoms up.

---

#i
Density functional theory data (PBE) for an optimized crystal structure of YGa4Cu2.

Cell: 16.8445 4.2570 6.6012 Å, 90.00 90.00 90.00°
With the nearest neighbours (Å) after each atom.
Space group Pnma (No. 62)
Unique sites:
1 Y 0.1403 0.2500 0.0119  10 Ga 2.99-3.34, 4 Cu 3.16-3.20
2 Ga 0.0332 0.7500 0.8454  3 Cu 2.50-2.64, 2 Ga 2.78
3 Ga 0.0693 0.2500 0.4850  4 Cu 2.51-2.71, 1 Ga 2.78
4 Ga 0.1837 0.7500 0.3222  4 Cu 2.53-2.59, 1 Ga 2.64
5 Ga 0.1906 0.7500 0.7213  3 Cu 2.53-2.54, 2 Ga 2.64-2.78
6 Cu 0.0363 0.7500 0.2459  7 Ga 2.50-2.71
7 Cu 0.2178 0.2500 0.5268  7 Ga 2.52-2.59

Summary:
The volume comes out at 118.3 Å³/f.u. The density of states at the Fermi level is 2.29 states/eV/f.u.

---

#ii
Density functional theory data (PBE) for an optimized crystal structure of YGa4Cu2.

Cell: 4.2267 13.7412 4.2231 Å, 90.00 90.00 90.00°
With the nearest neighbours (Å) after each atom.
Space group Cmmm (No. 65)
Unique sites:
1 Y 0.0000 0.0000 0.0000  8 Cu 3.22, 8 Ga 3.25-3.27
2 Ga 0.0000 0.1797 0.5000  2 Cu 2.47
3 Ga 0.0000 0.3188 0.0000  2 Cu 2.48
4 Cu 0.0000 0.4134 0.5000  1 Cu 2.38, 4 Ga 2.47-2.48

Summary:
The volume comes out at 122.6 Å³/f.u. The density of states at the Fermi level is 2.24 states/eV/f.u.

---

Going by the energies, #i is most stable and the next is 9.8 kJ/mol of atoms up.

---

#i
Density functional theory data (PBE) for an optimized crystal structure of ZnGa2Cu4.

Cell: 4.8115 6.3678 6.6367 Å, 93.97 103.52 101.56°
With the nearest neighbours (Å) after each atom.
Space group P1 (No. 1)
Unique sites:
1 Zn 0.0000 0.0000 0.0000  8 Cu 2.60-2.86, 3 Ga 2.82-2.85
2 Zn 0.4481 0.4698 0.5146  7 Cu 2.58-2.83, 3 Ga 2.79-2.84
3 Ga 0.4984 0.1610 0.8277  3 Cu 2.44-2.57
4 Ga 0.5461 0.1044 0.2999  5 Cu 2.38-2.65
5 Ga 0.7372 0.7185 0.2533  8 Cu 2.40-2.63
6 Ga 0.9986 0.3140 0.7016  4 Cu 2.45-2.62, 1 Ga 2.75
7 Cu 0.0557 0.6897 0.5887  5 Cu 2.41-2.62, 2 Ga 2.43-2.54, 1 Zn 2.68
8 Cu 0.1055 0.0655 0.4448  5 Ga 2.46-2.74, 3 Cu 2.62-2.65, 1 Zn 2.71
9 Cu 0.2404 0.7357 0.2567  3 Ga 2.40-2.47, 6 Cu 2.51-2.68, 1 Zn 2.66
10 Cu 0.3575 0.3938 0.0759  4 Ga 2.44-2.62, 4 Cu 2.47-2.72, 1 Zn 2.68
11 Cu 0.4081 0.7733 0.9234  5 Cu 2.41-2.67, 2 Ga 2.48-2.57
12 Cu 0.6398 0.8795 0.6211  3 Ga 2.48-2.76, 2 Zn 2.58-2.66, 3 Cu 2.58-2.68
13 Cu 0.8320 0.5851 0.8964  2 Ga 2.45-2.63, 4 Cu 2.59-2.69, 2 Zn 2.60-2.72
14 Cu 0.9239 0.3642 0.2208  2 Ga 2.38-2.60, 4 Cu 2.47-2.65

Summary:
The volume comes out at 96.1 Å³/f.u. The density of states at the Fermi level is 1.29 states/eV/f.u.

---

#ii
Density functional theory data (PBE) for an optimized crystal structure of ZnGa2Cu4.

Cell: 9.4804 4.9043 8.5541 Å, 90.00 90.00 90.00°
With the nearest neighbours (Å) after each atom.
Space group Cmce (No. 64)
Unique sites:
1 Zn 0.0000 0.0000 0.0000  4 Cu 2.50-2.67
2 Ga 0.1713 0.0000 0.5000  6 Cu 2.49-2.67
3 Cu 0.0000 0.1033 0.2859  2 Zn 2.50-2.67, 2 Ga 2.50, 4 Cu 2.53-2.56
4 Cu 0.2500 0.2113 0.7500  4 Cu 2.45-2.56, 4 Ga 2.49-2.67

Summary:
The volume comes out at 99.4 Å³/f.u. The density of states at the Fermi level is 2.25 states/eV/f.u.

---

#iii
Density functional theory data (PBE) for an optimized crystal structure of ZnGa2Cu4.

Cell: 4.4600 4.4600 12.3601 Å, 90.00 90.00 90.00°
With the nearest neighbours (Å) after each atom.
Space group I4/mmm (No. 139)
Unique sites:
1 Zn 0.0000 0.0000 0.0000  6 Cu 2.23-2.38
2 Ga 0.0000 0.0000 0.3831  1 Cu 2.36
3 Cu 0.0000 0.0000 0.1924  1 Ga 2.36, 1 Zn 2.38
4 Cu 0.0000 0.5000 0.0000  2 Zn 2.23

Summary:
The volume comes out at 122.9 Å³/f.u. The density of states at the Fermi level is 2.90 states/eV/f.u.

---

Going by the energies, #i is most stable and the next is 5.7 kJ/mol of atoms up.

---

#i
Density functional theory data (PBE) for an optimized crystal structure of Zn3GaCu6.

Cell: 8.1230 3.8559 8.2509 Å, 90.00 91.34 90.00°
With the nearest neighbours (Å) after each atom.
Space group P2_1/m (No. 11)
Unique sites:
1 Zn 0.0477 0.2500 0.3981  8 Cu 2.57-2.67, 4 Zn 2.68
2 Zn 0.1497 0.7500 0.1987  8 Cu 2.57-2.66, 4 Zn 2.68-2.69
3 Zn 0.2523 0.2500 0.9972  10 Cu 2.56-2.64, 2 Zn 2.69
4 Ga 0.4453 0.2500 0.6127  10 Cu 2.52-2.66
5 Cu 0.0511 0.7500 0.9005  5 Cu 2.56-2.68, 7 Zn 2.57-2.64
6 Cu 0.1490 0.2500 0.7007  1 Ga 2.53, 5 Zn 2.57-2.62, 6 Cu 2.64-2.68
7 Cu 0.2525 0.7500 0.5012  5 Cu 2.59-2.68, 4 Zn 2.59-2.67, 3 Ga 2.64-2.65
8 Cu 0.3484 0.7500 0.8029  8 Cu 2.54-2.65, 2 Ga 2.62, 2 Zn 2.64
9 Cu 0.3514 0.2500 0.3017  5 Cu 2.61-2.69, 4 Zn 2.61-2.66, 3 Ga 2.62-2.66
10 Cu 0.4492 0.7500 0.0972  1 Ga 2.52, 7 Cu 2.54-2.69, 4 Zn 2.56-2.63

Summary:
The volume comes out at 129.2 Å³/f.u. The density of states at the Fermi level is 1.77 states/eV/f.u.

---

#ii
Density functional theory data (PBE) for an optimized crystal structure of Zn3GaCu6.

Cell: 9.6492 2.6134 10.6137 Å, 90.00 101.35 90.00°
With the nearest neighbours (Å) after each atom.
Space group P2_1/m (No. 11)
Unique sites:
1 Zn 0.0812 0.2500 0.1020  8 Cu 2.49-2.68, 4 Zn 2.61-2.74
2 Zn 0.1289 0.7500 0.4998  7 Cu 2.45-2.68, 2 Zn 2.61
3 Zn 0.4183 0.2500 0.9055  6 Cu 2.51-2.66, 4 Zn 2.61-2.64
4 Ga 0.4570 0.2500 0.2922  8 Cu 2.57-2.74, 2 Ga 2.61
5 Cu 0.0094 0.7500 0.6935  4 Zn 2.49-2.57, 7 Cu 2.56-2.67
6 Cu 0.1546 0.2500 0.8818  4 Zn 2.51-2.66, 8 Cu 2.56-2.67
7 Cu 0.2309 0.7500 0.3036  3 Zn 2.47-2.68, 2 Ga 2.57, 5 Cu 2.61-2.67
8 Cu 0.2786 0.7500 0.7147  3 Zn 2.45-2.56, 7 Cu 2.56-2.74, 1 Ga 2.57
9 Cu 0.3086 0.7500 0.0808  5 Zn 2.60-2.66, 5 Cu 2.61-2.67, 2 Ga 2.74
10 Cu 0.3748 0.2500 0.5220  8 Cu 2.61-2.87, 3 Ga 2.64-2.71, 2 Zn 2.68

Summary:
The volume comes out at 131.2 Å³/f.u. The density of states at the Fermi level is 2.28 states/eV/f.u.

---

Going by the energies, #i is most stable and the next is 4.8 kJ/mol of atoms up.